## Sn3H2Pd8 (GGA-PBE)

Data for a geometry-optimized Sn3H2Pd8 structure.

a b c (Å): 8.1080 8.1080 8.1080
angles (deg): 40.20 40.20 40.20
Fractional coordinates of all 13 atoms:
Sn 0.0000 0.0000 0.0000
Sn 0.2008 0.2008 0.2008
Sn 0.7992 0.7992 0.7992
H 0.3964 0.3964 0.3964
H 0.6036 0.6036 0.6036
Pd 0.2320 0.7323 0.7323
Pd 0.2677 0.2677 0.7680
Pd 0.2677 0.7680 0.2677
Pd 0.3171 0.3171 0.3171
Pd 0.6829 0.6829 0.6829
Pd 0.7323 0.2320 0.7323
Pd 0.7323 0.7323 0.2320
Pd 0.7680 0.2677 0.2677

## Properties
As for the total moment: 0.000 μB/cell. Its calculated density is 10.0 g/cm³. The space group is R-3m. The total energy comes out at -4.99 eV/atom.



## Sn2H3Pd10 (GGA-PBE)

Data for a geometry-optimized Sn2H3Pd10 structure.

a b c (Å): 5.7790 8.5561 9.1373
angles (deg): 71.20 71.79 89.95
Fractional coordinates of all 30 atoms:
Sn 0.1229 0.2413 0.2556
Sn 0.2095 0.7596 0.0837
Sn 0.7905 0.2404 0.9163
Sn 0.8771 0.7587 0.7444
H 0.2674 0.6204 0.4608
H 0.3349 0.4958 0.8297
H 0.4134 0.0214 0.6648
H 0.5866 0.9786 0.3352
H 0.6651 0.5042 0.1703
H 0.7326 0.3796 0.5392
Pd 0.0000 0.5000 0.0000
Pd 0.0355 0.7511 0.4188
Pd 0.0839 0.0008 0.8324
Pd 0.1577 0.4948 0.6776
Pd 0.2512 0.9998 0.5001
Pd 0.2876 0.2468 0.9247
Pd 0.3337 0.4983 0.3244
Pd 0.3715 0.7500 0.7544
Pd 0.4181 0.9983 0.1681
Pd 0.4505 0.2525 0.5831
Pd 0.5000 0.5000 0.0000
Pd 0.5495 0.7475 0.4169
Pd 0.5819 0.0017 0.8319
Pd 0.6285 0.2500 0.2456
Pd 0.6663 0.5017 0.6756
Pd 0.7124 0.7532 0.0753
Pd 0.7488 0.0002 0.4999
Pd 0.8423 0.5052 0.3224
Pd 0.9161 0.9992 0.1676
Pd 0.9645 0.2489 0.5812

## Properties
As for the total moment: 0.000 μB/cell. Its calculated density is 10.7 g/cm³. The space group is P-1. The total energy comes out at -4.98 eV/atom.



## Sn3HPd6 (GGA-PBE)

Data for a geometry-optimized Sn3HPd6 structure.

a b c (Å): 8.8529 8.8529 4.1016
angles (deg): 90.00 90.00 96.52
Fractional coordinates of all 20 atoms:
Sn 0.0992 0.9008 0.5000
Sn 0.2254 0.4293 0.9971
Sn 0.4293 0.2254 0.4971
Sn 0.5707 0.7746 0.9971
Sn 0.7746 0.5707 0.4971
Sn 0.9008 0.0992 0.0000
H 0.2925 0.7075 0.4541
H 0.7075 0.2925 0.9541
Pd 0.0842 0.5837 0.5006
Pd 0.0867 0.2398 0.4979
Pd 0.2398 0.0867 0.9979
Pd 0.2550 0.7450 0.0018
Pd 0.4163 0.9158 0.5006
Pd 0.4267 0.5733 0.4998
Pd 0.5733 0.4267 0.9998
Pd 0.5837 0.0842 0.0006
Pd 0.7450 0.2550 0.5018
Pd 0.7602 0.9133 0.4979
Pd 0.9133 0.7602 0.9979
Pd 0.9158 0.4163 0.0006

## Properties
As for the total moment: 0.000 μB/cell. Its calculated density is 10.4 g/cm³. The space group is Cmc2_1. The total energy comes out at -5.06 eV/atom.



## SnH4Pd12 (GGA-PBE)

Data for a geometry-optimized SnH4Pd12 structure.

a b c (Å): 6.6091 6.6091 6.6091
angles (deg): 109.47 109.47 109.47
Fractional coordinates of all 17 atoms:
Sn 0.0000 0.0000 0.0000
H 0.0000 0.0000 0.5000
H 0.0000 0.5000 0.0000
H 0.5000 0.0000 0.0000
H 0.5000 0.5000 0.5000
Pd 0.1259 0.3107 0.8152
Pd 0.1848 0.4955 0.3107
Pd 0.1848 0.8741 0.6893
Pd 0.3107 0.1848 0.4955
Pd 0.3107 0.8152 0.1259
Pd 0.4955 0.3107 0.1848
Pd 0.5045 0.6893 0.8152
Pd 0.6893 0.1848 0.8741
Pd 0.6893 0.8152 0.5045
Pd 0.8152 0.1259 0.3107
Pd 0.8152 0.5045 0.6893
Pd 0.8741 0.6893 0.1848

## Properties
As for the total moment: 0.000 μB/cell. Its calculated density is 10.5 g/cm³. The space group is Im-3. The total energy comes out at -4.77 eV/atom.



## SnH2Pd (GGA-PBE)

Data for a geometry-optimized SnH2Pd structure.

a b c (Å): 4.8746 4.8746 8.8266
angles (deg): 90.00 90.00 90.00
Fractional coordinates of all 16 atoms:
Sn 0.0000 0.0000 0.0000
Sn 0.0000 0.5000 0.2500
Sn 0.5000 0.0000 0.7500
Sn 0.5000 0.5000 0.5000
H 0.1152 0.2500 0.6250
H 0.2500 0.6152 0.8750
H 0.2500 0.8848 0.3750
H 0.3848 0.2500 0.1250
H 0.6152 0.7500 0.1250
H 0.7500 0.1152 0.3750
H 0.7500 0.3848 0.8750
H 0.8848 0.7500 0.6250
Pd 0.0000 0.0000 0.5000
Pd 0.0000 0.5000 0.7500
Pd 0.5000 0.0000 0.2500
Pd 0.5000 0.5000 0.0000

## Properties
As for the total moment: 0.000 μB/cell. For the distance to the lowest polymorph of the same formula, the calculation gives 0.000 eV/atom. Its calculated density is 7.2 g/cm³. The space group is I-42d.



## SnHPd6 (GGA-PBE)

Data for a geometry-optimized SnHPd6 structure.

a b c (Å): 5.0000 5.0000 5.0000
angles (deg): 99.65 99.65 99.65
Fractional coordinates of all 8 atoms:
Sn 0.0000 0.0000 0.0000
H 0.5000 0.5000 0.5000
Pd 0.2158 0.2158 0.5847
Pd 0.2158 0.5847 0.2158
Pd 0.4153 0.7842 0.7842
Pd 0.5847 0.2158 0.2158
Pd 0.7842 0.4153 0.7842
Pd 0.7842 0.7842 0.4153

## Properties
As for the total moment: 0.000 μB/cell. Its calculated density is 10.6 g/cm³. The space group is R-3m. The total energy comes out at -4.99 eV/atom.



## Sn3HPd (GGA-PBE)

Data for a geometry-optimized Sn3HPd structure.

a b c (Å): 4.6075 4.6075 4.6075
angles (deg): 90.00 90.00 90.00
Fractional coordinates of all 5 atoms:
Sn 0.0000 0.0000 0.5000
Sn 0.0000 0.5000 0.0000
Sn 0.5000 0.0000 0.0000
H 0.0000 0.0000 0.0000
Pd 0.5000 0.5000 0.5000

## Properties
As for the total moment: 0.000 μB/cell. For the distance to the lowest polymorph of the same formula, the calculation gives 0.000 eV/atom. Its calculated density is 7.9 g/cm³. The space group is Pm-3m.



## SnH2Pd3 (GGA-PBE)

Data for a geometry-optimized SnH2Pd3 structure.

a b c (Å): 3.1216 9.4004 5.1342
angles (deg): 90.00 90.00 90.00
Fractional coordinates of all 12 atoms:
Sn 0.0000 0.1470 0.0000
Sn 0.0000 0.8530 0.5000
H 0.0000 0.2121 0.4872
H 0.0000 0.7879 0.9872
H 0.5000 0.4544 0.5090
H 0.5000 0.5456 0.0090
Pd 0.0000 0.3681 0.6657
Pd 0.0000 0.6319 0.1657
Pd 0.5000 0.0990 0.4840
Pd 0.5000 0.3728 0.1735
Pd 0.5000 0.6272 0.6735
Pd 0.5000 0.9010 0.9840

## Properties
As for the total moment: 0.000 μB/cell. Its calculated density is 9.7 g/cm³. The space group is Pmc2_1. The total energy comes out at -4.56 eV/atom.



## Sn3H5Pd12 (GGA-PBE)

Data for a geometry-optimized Sn3H5Pd12 structure.

a b c (Å): 11.2871 11.2871 11.2871
angles (deg): 109.47 109.47 109.47
Fractional coordinates of all 80 atoms:
Sn 0.1250 0.2500 0.3750
Sn 0.1250 0.3750 0.7500
Sn 0.2500 0.3750 0.1250
Sn 0.2500 0.8750 0.6250
Sn 0.3750 0.1250 0.2500
Sn 0.3750 0.7500 0.1250
Sn 0.6250 0.2500 0.8750
Sn 0.6250 0.8750 0.7500
Sn 0.7500 0.1250 0.3750
Sn 0.7500 0.6250 0.8750
Sn 0.8750 0.6250 0.2500
Sn 0.8750 0.7500 0.6250
H 0.0000 0.0000 0.0000
H 0.0000 0.0000 0.5000
H 0.0000 0.5000 0.0000
H 0.0000 0.5000 0.5000
H 0.1250 0.7500 0.8750
H 0.1250 0.8750 0.2500
H 0.2500 0.1250 0.8750
H 0.2500 0.6250 0.3750
H 0.3750 0.2500 0.6250
H 0.3750 0.6250 0.7500
H 0.5000 0.0000 0.0000
H 0.5000 0.0000 0.5000
H 0.5000 0.5000 0.0000
H 0.5000 0.5000 0.5000
H 0.6250 0.3750 0.2500
H 0.6250 0.7500 0.3750
H 0.7500 0.3750 0.6250
H 0.7500 0.8750 0.1250
H 0.8750 0.1250 0.7500
H 0.8750 0.2500 0.1250
Pd 0.0058 0.1929 0.1022
Pd 0.0058 0.3130 0.9037
Pd 0.0907 0.6929 0.6870
Pd 0.0907 0.8978 0.4037
Pd 0.0963 0.6022 0.4093
Pd 0.0963 0.9942 0.6870
Pd 0.1022 0.0058 0.1929
Pd 0.1022 0.5963 0.9093
Pd 0.1870 0.1929 0.5907
Pd 0.1870 0.4942 0.5963
Pd 0.1929 0.1022 0.0058
Pd 0.1929 0.5907 0.1870
Pd 0.3071 0.3130 0.9093
Pd 0.3071 0.4942 0.3978
Pd 0.3130 0.9037 0.0058
Pd 0.3130 0.9093 0.3071
Pd 0.3978 0.3071 0.4942
Pd 0.3978 0.5907 0.9037
Pd 0.4037 0.0907 0.8978
Pd 0.4037 0.8130 0.5058
Pd 0.4093 0.0963 0.6022
Pd 0.4093 0.8130 0.8071
Pd 0.4942 0.3978 0.3071
Pd 0.4942 0.5963 0.1870
Pd 0.5058 0.4037 0.8130
Pd 0.5058 0.6022 0.6929
Pd 0.5907 0.1870 0.1929
Pd 0.5907 0.9037 0.3978
Pd 0.5963 0.1870 0.4942
Pd 0.5963 0.9093 0.1022
Pd 0.6022 0.4093 0.0963
Pd 0.6022 0.6929 0.5058
Pd 0.6870 0.0907 0.6929
Pd 0.6870 0.0963 0.9942
Pd 0.6929 0.5058 0.6022
Pd 0.6929 0.6870 0.0907
Pd 0.8071 0.4093 0.8130
Pd 0.8071 0.8978 0.9942
Pd 0.8130 0.5058 0.4037
Pd 0.8130 0.8071 0.4093
Pd 0.8978 0.4037 0.0907
Pd 0.8978 0.9942 0.8071
Pd 0.9037 0.0058 0.3130
Pd 0.9037 0.3978 0.5907
Pd 0.9093 0.1022 0.5963
Pd 0.9093 0.3071 0.3130
Pd 0.9942 0.6870 0.0963
Pd 0.9942 0.8071 0.8978

## Properties
As for the total moment: 0.000 μB/cell. Its calculated density is 9.8 g/cm³. The space group is Ia-3d. The total energy comes out at -4.81 eV/atom.



## Sn2H3Pd8 (GGA-PBE)

Data for a geometry-optimized Sn2H3Pd8 structure.

a b c (Å): 7.1964 7.1964 4.5528
angles (deg): 107.39 107.39 57.07
Fractional coordinates of all 13 atoms:
Sn 0.2296 0.2296 0.4888
Sn 0.7704 0.7704 0.5112
H 0.1508 0.8492 0.0000
H 0.5000 0.5000 0.5000
H 0.8492 0.1508 0.0000
Pd 0.1024 0.1024 0.8662
Pd 0.2108 0.6363 0.6627
Pd 0.3562 0.3562 0.1072
Pd 0.3637 0.7892 0.3373
Pd 0.6363 0.2108 0.6627
Pd 0.6438 0.6438 0.8928
Pd 0.7892 0.3637 0.3373
Pd 0.8976 0.8976 0.1338

## Properties
As for the total moment: 0.000 μB/cell. Its calculated density is 9.7 g/cm³. The space group is C2/m. The total energy comes out at -4.79 eV/atom.



## Sn2HPd5 (GGA-PBE)

Data for a geometry-optimized Sn2HPd5 structure.

a b c (Å): 7.1113 5.7521 12.0466
angles (deg): 90.00 90.00 90.00
Fractional coordinates of all 32 atoms:
Sn 0.0253 0.2500 0.2053
Sn 0.1821 0.7500 0.4151
Sn 0.3179 0.2500 0.9151
Sn 0.4747 0.7500 0.7053
Sn 0.5253 0.2500 0.2947
Sn 0.6821 0.7500 0.0849
Sn 0.8179 0.2500 0.5849
Sn 0.9747 0.7500 0.7947
H 0.1842 0.7500 0.0813
H 0.3158 0.2500 0.5813
H 0.6842 0.7500 0.4187
H 0.8158 0.2500 0.9187
Pd 0.0000 0.0000 0.0000
Pd 0.0000 0.5000 0.0000
Pd 0.0268 0.7500 0.2055
Pd 0.1519 0.5037 0.6196
Pd 0.1519 0.9963 0.6196
Pd 0.1907 0.2500 0.4083
Pd 0.3093 0.7500 0.9083
Pd 0.3481 0.0037 0.1196
Pd 0.3481 0.4963 0.1196
Pd 0.4732 0.2500 0.7055
Pd 0.5000 0.0000 0.5000
Pd 0.5000 0.5000 0.5000
Pd 0.5268 0.7500 0.2945
Pd 0.6519 0.5037 0.8804
Pd 0.6519 0.9963 0.8804
Pd 0.6907 0.2500 0.0917
Pd 0.8093 0.7500 0.5917
Pd 0.8481 0.0037 0.3804
Pd 0.8481 0.4963 0.3804
Pd 0.9732 0.2500 0.7945

## Properties
As for the total moment: 0.000 μB/cell. For the distance to the lowest polymorph of the same formula, the calculation gives 0.000 eV/atom. Its calculated density is 10.4 g/cm³. The space group is Pnma.



## SnH6Pd6 (GGA-PBE)

Data for a geometry-optimized SnH6Pd6 structure.

a b c (Å): 4.7063 4.7063 7.9324
angles (deg): 90.00 90.00 120.00
Fractional coordinates of all 13 atoms:
Sn 0.0000 0.0000 0.0000
H 0.0000 0.5000 0.3518
H 0.0000 0.5000 0.6482
H 0.5000 0.0000 0.3518
H 0.5000 0.0000 0.6482
H 0.5000 0.5000 0.3518
H 0.5000 0.5000 0.6482
Pd 0.0000 0.0000 0.3288
Pd 0.0000 0.0000 0.6712
Pd 0.3333 0.6667 0.0000
Pd 0.3333 0.6667 0.5000
Pd 0.6667 0.3333 0.0000
Pd 0.6667 0.3333 0.5000

## Properties
As for the total moment: 0.000 μB/cell. Its calculated density is 8.3 g/cm³. The space group is P6/mmm. The total energy comes out at -4.15 eV/atom.